No. 1
Material: Dy3Zn2Si4Ni2
Method: DFT, GGA-PBE
State: optimized geometry

Output
space-group type = Immm

```
Dy3Zn2Si4Ni2
1.0
-1.9822 2.0089 12.1417
1.9822 -2.0089 12.1417
1.9822 2.0089 -12.1417
Dy Zn Si Ni
3 2 4 2
Direct
0.0000 0.0000 0.0000 Dy
0.3588 0.8588 0.5000 Dy
0.6412 0.1412 0.5000 Dy
0.2503 0.2503 0.0000 Zn
0.7497 0.7497 0.0000 Zn
0.1848 0.6848 0.5000 Si
0.4510 0.4510 0.0000 Si
0.5490 0.5490 0.0000 Si
0.8152 0.3152 0.5000 Si
0.0927 0.5927 0.5000 Ni
0.9073 0.4073 0.5000 Ni
```



No. 2
Material: SmDyNi
Method: DFT, GGA-PBE
State: optimized geometry

Output
ΔH_f (0 K) = -0.36 eV/f.u.
space-group type = F-43m

```
SmDyNi
1.0
0.0000 3.3778 3.3778
3.3778 0.0000 3.3778
3.3778 3.3778 0.0000
Sm Dy Ni
1 1 1
Direct
0.0000 0.0000 0.0000 Sm
0.5000 0.5000 0.5000 Dy
0.7500 0.7500 0.7500 Ni
```



No. 3
Material: Sm2DyNi9
Method: DFT, GGA-PBE
State: optimized geometry

Output
ΔH_f (0 K) = -4.44 eV/f.u.
space-group type = R-3m

```
Sm2DyNi9
1.0
2.4843 1.4343 8.1650
-2.4843 1.4343 8.1650
0.0000 -2.8687 8.1650
Sm Dy Ni
2 1 9
Direct
0.1390 0.1390 0.1390 Sm
0.8610 0.8610 0.8610 Sm
0.0000 0.0000 0.0000 Dy
0.0814 0.5811 0.5811 Ni
0.3329 0.3329 0.3329 Ni
0.4189 0.4189 0.9186 Ni
0.4189 0.9186 0.4189 Ni
0.5000 0.5000 0.5000 Ni
0.5811 0.0814 0.5811 Ni
0.5811 0.5811 0.0814 Ni
0.6671 0.6671 0.6671 Ni
0.9186 0.4189 0.4189 Ni
```



No. 4
Material: SmDyNi4
Method: DFT, GGA-PBE
State: optimized geometry

Output
ΔH_f (0 K) = -2.46 eV/f.u.
space-group type = F-43m

```
SmDyNi4
1.0
0.0000 3.5976 3.5976
3.5976 0.0000 3.5976
3.5976 3.5976 0.0000
Sm Dy Ni
1 1 4
Direct
0.0000 0.0000 0.0000 Sm
0.7500 0.7500 0.7500 Dy
0.3755 0.3755 0.3755 Ni
0.3755 0.3755 0.8735 Ni
0.3755 0.8735 0.3755 Ni
0.8735 0.3755 0.3755 Ni
```



No. 5
Material: SmDy2Ni9
Method: DFT, GGA-PBE
State: optimized geometry

Output
ΔH_f (0 K) = -4.84 eV/f.u.
space-group type = R-3m

```
SmDy2Ni9
1.0
2.4859 1.4352 8.1155
-2.4859 1.4352 8.1155
0.0000 -2.8704 8.1155
Sm Dy Ni
1 2 9
Direct
0.0000 0.0000 0.0000 Sm
0.1393 0.1393 0.1393 Dy
0.8607 0.8607 0.8607 Dy
0.0816 0.5832 0.5832 Ni
0.3330 0.3330 0.3330 Ni
0.4168 0.4168 0.9184 Ni
0.4168 0.9184 0.4168 Ni
0.5000 0.5000 0.5000 Ni
0.5832 0.0816 0.5832 Ni
0.5832 0.5832 0.0816 Ni
0.6670 0.6670 0.6670 Ni
0.9184 0.4168 0.4168 Ni
```



No. 6
Material: Sm2Dy2Ni
Method: DFT, GGA-PBE
State: optimized geometry

Output
ΔH_f (0 K) = 0.25 eV/f.u.
space-group type = P6_3/mmc

```
Sm2Dy2Ni
1.0
5.2650 0.0000 0.0000
-2.6325 4.5596 0.0000
0.0000 0.0000 10.9082
Sm Dy Ni
4 4 2
Direct
0.3333 0.6667 0.0975 Sm
0.3333 0.6667 0.4025 Sm
0.6667 0.3333 0.5975 Sm
0.6667 0.3333 0.9025 Sm
0.0000 0.0000 0.0000 Dy
0.0000 0.0000 0.5000 Dy
0.3333 0.6667 0.7500 Dy
0.6667 0.3333 0.2500 Dy
0.0000 0.0000 0.2500 Ni
0.0000 0.0000 0.7500 Ni
```



No. 7
Material: Sm3Dy3NiTe2
Method: DFT, GGA-PBE
State: optimized geometry

Output
space-group type = P-62m

```
Sm3Dy3NiTe2
1.0
8.4842 0.0000 0.0000
-4.2421 7.3476 0.0000
0.0000 0.0000 3.9589
Sm Dy Ni Te
3 3 1 2
Direct
0.0000 0.5927 0.0000 Sm
0.4073 0.4073 0.0000 Sm
0.5927 0.0000 0.0000 Sm
0.0000 0.2362 0.5000 Dy
0.2362 0.0000 0.5000 Dy
0.7638 0.7638 0.5000 Dy
0.0000 0.0000 0.0000 Ni
0.3333 0.6667 0.5000 Te
0.6667 0.3333 0.5000 Te
```



No. 8
Material: Sm3Dy3NiTe2
Method: DFT, GGA-PBE
State: optimized geometry

Output
space-group type = P-62m

```
Sm3Dy3NiTe2
1.0
8.5299 0.0000 0.0000
-4.2649 7.3871 0.0000
0.0000 0.0000 3.8977
Sm Dy Ni Te
3 3 1 2
Direct
0.0000 0.2416 0.0000 Sm
0.2416 0.0000 0.0000 Sm
0.7584 0.7584 0.0000 Sm
0.0000 0.5923 0.5000 Dy
0.4077 0.4077 0.5000 Dy
0.5923 0.0000 0.5000 Dy
0.0000 0.0000 0.5000 Ni
0.3333 0.6667 0.0000 Te
0.6667 0.3333 0.0000 Te
```



no.,energy (eV/atom),ρ (Mg/m³)
1,-5.1627,7.3
2,-5.0791,8.0
3,-5.7147,9.4
4,-5.6735,9.8
5,-5.7384,9.6
6,-4.7880,8.7
7,-5.1575,8.4
8,-5.0997,8.5